#w
Computed, not measured: an optimized crystal structure of GdUOs at the PBE-GGA level of DFT.

density of states at the Fermi level	2.0254	states/eV/atom
M_tot	5.5	Bohr magnetons per cell

Lattice parameters (Å, degrees): 4.7816 4.7816 3.0871 90.00 90.00 120.00
Space group P3m1 (No. 156)
Inequivalent atoms, fractional coordinates:
Gd 0.0000 0.0000 0.0000 (multiplicity 1)
U 0.3333 0.6667 0.3427 (multiplicity 1)
Os 0.6667 0.3333 0.6184 (multiplicity 1)

***

#x
Computed, not measured: an optimized crystal structure of GdUOs at the PBE-GGA level of DFT.

density of states at the Fermi level	1.5599	states/eV/atom
M_tot	15.5	Bohr magnetons per cell

Lattice parameters (Å, degrees): 3.509 3.509 10.827 90.00 90.00 90.00
Space group I4mm (No. 107)
Inequivalent atoms, fractional coordinates:
Gd 0.000 0.000 0.000 (multiplicity 2)
U 0.000 0.000 0.301 (multiplicity 2)
Os 0.000 0.000 0.694 (multiplicity 2)

***

#x ends up most stable, edging out the next structure by 19.0 kJ/mol of atoms.

***

#w
Computed, not measured: an optimized crystal structure of GdYOs at the PBE-GGA level of DFT.

density of states at the Fermi level	0.5119	states/eV/atom
M_tot	14.1	Bohr magnetons per cell

Lattice parameters (Å, degrees): 3.412 3.412 13.297 90.00 90.00 90.00
Space group I4mm (No. 107)
Inequivalent atoms, fractional coordinates:
Gd 0.000 0.000 0.000 (multiplicity 2)
Y 0.000 0.000 0.251 (multiplicity 2)
Os 0.000 0.000 0.626 (multiplicity 2)

***

#x
Computed, not measured: an optimized crystal structure of GdYOs at the PBE-GGA level of DFT.

density of states at the Fermi level	0.5483	states/eV/atom
M_tot	28.4	Bohr magnetons per cell

Lattice parameters (Å, degrees): 6.797 6.797 6.797 90.00 90.00 90.00
Space group F-43m (No. 216)
Inequivalent atoms, fractional coordinates:
Gd 0.000 0.000 0.000 (multiplicity 4)
Y 0.000 0.000 0.500 (multiplicity 4)
Os 0.250 0.250 0.750 (multiplicity 4)

***

#w ends up most stable, edging out the next structure by 2.4 kJ/mol of atoms.

***

#w
Computed, not measured: an optimized crystal structure of GdZr2Os at the PBE-GGA level of DFT.

density of states at the Fermi level	1.4550	states/eV/atom
M_tot	7.6	Bohr magnetons per cell

Lattice parameters (Å, degrees): 3.310 3.310 8.083 90.00 90.00 90.00
Space group P4/mmm (No. 123)
Inequivalent atoms, fractional coordinates:
Gd 0.000 0.000 0.000 (multiplicity 1)
Zr 0.500 0.500 0.301 (multiplicity 2)
Os 0.000 0.000 0.500 (multiplicity 1)

***

#x
Computed, not measured: an optimized crystal structure of GdZr2Os at the PBE-GGA level of DFT.

density of states at the Fermi level	1.2632	states/eV/atom
M_tot	30.5	Bohr magnetons per cell

Lattice parameters (Å, degrees): 6.900 6.900 6.900 90.00 90.00 90.00
Space group Fm-3m (No. 225)
Inequivalent atoms, fractional coordinates:
Gd 0.000 0.000 0.000 (multiplicity 4)
Zr 0.250 0.250 0.250 (multiplicity 8)
Os 0.000 0.000 0.500 (multiplicity 4)

***

#w ends up most stable, edging out the next structure by 10.0 kJ/mol of atoms.

***

#w
Computed, not measured: an optimized crystal structure of Pm2GdP at the PBE-GGA level of DFT.

density of states at the Fermi level	1.0684	states/eV/atom
M_tot	8.6	Bohr magnetons per cell

Lattice parameters (Å, degrees): 3.720 3.720 8.063 90.00 90.00 90.00
Space group P4/mmm (No. 123)
Inequivalent atoms, fractional coordinates:
Pm 0.000 0.000 0.192 (multiplicity 2)
Gd 0.500 0.500 0.500 (multiplicity 1)
P 0.500 0.500 0.000 (multiplicity 1)

***

#x
Computed, not measured: an optimized crystal structure of Pm2GdP at the PBE-GGA level of DFT.

density of states at the Fermi level	1.6016	states/eV/atom
M_tot	26.1	Bohr magnetons per cell

Lattice parameters (Å, degrees): 3.9277 3.9277 28.2994 90.00 90.00 120.00
Space group R-3m (No. 166, hexagonal axes)
Inequivalent atoms, fractional coordinates:
Pm 0.0000 0.0000 0.2262 (multiplicity 6)
Gd 0.0000 0.0000 0.0000 (multiplicity 3)
P 0.0000 0.0000 0.5000 (multiplicity 3)

***

#x ends up most stable, edging out the next structure by 12.2 kJ/mol of atoms.